An optimized crystal structure of Sr2TcNi, computed with PBE.

Results
As for the total magnetization: 2.5 μB per formula unit. Its relative energy among the computed polymorphs is 144 kJ/mol of formula units. The formation enthalpy at 0 K comes out at 740 meV per atom.

Cell: 3.5727 3.5541 8.6388 Å, 65.76 90.00 90.00°
Fractional positions:
Ni 0.5000 0.7500 0.7500
Sr 0.0000 0.0156 0.9844
Sr 0.0000 0.4844 0.5156
Tc 0.5000 0.2500 0.2500

---

An optimized crystal structure of Ba2GaBi, computed with PBE.

Results
As for the total magnetization: 0.0 μB per formula unit. Its relative energy among the computed polymorphs is 16 kJ/mol of formula units. The formation enthalpy at 0 K comes out at -520 meV per atom.

Cell: 5.9974 5.9974 5.9974 Å, 60.00 60.00 60.00°
Fractional positions:
Bi 0.5000 0.5000 0.5000
Ga 0.0000 0.0000 0.0000
Ba 0.2500 0.2500 0.2500
Ba 0.7500 0.7500 0.7500